Entry 1:
SrMnP2: relaxed, PBE.

Unit cell a=4.0975 b=6.1117 c=6.9543 alpha=90.00 beta=90.00 gamma=90.00
Last column: nearest neighbours and their distance in Å.
Fractional coordinates of all 8 atoms:
1 Sr 0.0000 0.0000 0.0000  8 P 3.08-3.27
2 Sr 0.5000 0.5000 0.5000  8 P 3.08-3.27
3 Mn 0.0000 0.0000 0.5000  4 P 2.36
4 Mn 0.5000 0.5000 0.0000  4 P 2.36
5 P 0.0000 0.5000 0.1691  1 P 2.35, 2 Mn 2.36
6 P 0.0000 0.5000 0.8309  1 P 2.35, 2 Mn 2.36
7 P 0.5000 0.0000 0.3309  1 P 2.35, 2 Mn 2.36
8 P 0.5000 0.0000 0.6691  1 P 2.35, 2 Mn 2.36

Output
- calculated total energy (eV per atom) = -5.84
- spin magnetization (μB/f.u.) = 3.28
- offset from the most stable computed form (kJ/mol of atoms) = 16.92
- energy of formation (eV per atom) = -0.426

=====

Entry 2:
Sr2MnP: relaxed, PBE.

Unit cell a=7.4030 b=7.4030 c=7.4030 alpha=90.00 beta=90.00 gamma=90.00
Last column: nearest neighbours and their distance in Å.
Fractional coordinates of all 16 atoms:
1 Sr 0.0000 0.0000 0.0000  4 P 3.21, 4 Sr 3.21
2 Sr 0.0000 0.5000 0.5000  4 P 3.21, 4 Sr 3.21
3 Sr 0.2500 0.2500 0.2500  4 Mn 3.21, 4 Sr 3.21
4 Sr 0.2500 0.7500 0.7500  4 Mn 3.21, 4 Sr 3.21
5 Sr 0.5000 0.0000 0.5000  4 P 3.21, 4 Sr 3.21
6 Sr 0.5000 0.5000 0.0000  4 P 3.21, 4 Sr 3.21
7 Sr 0.7500 0.2500 0.7500  4 Mn 3.21, 4 Sr 3.21
8 Sr 0.7500 0.7500 0.2500  4 Mn 3.21, 4 Sr 3.21
9 Mn 0.0000 0.0000 0.5000  4 Sr 3.21, 4 P 3.21
10 Mn 0.0000 0.5000 0.0000  4 Sr 3.21, 4 P 3.21
11 Mn 0.5000 0.0000 0.0000  4 Sr 3.21, 4 P 3.21
12 Mn 0.5000 0.5000 0.5000  4 Sr 3.21, 4 P 3.21
13 P 0.2500 0.2500 0.7500  4 Mn 3.21, 4 Sr 3.21
14 P 0.2500 0.7500 0.2500  4 Mn 3.21, 4 Sr 3.21
15 P 0.7500 0.2500 0.2500  4 Mn 3.21, 4 Sr 3.21
16 P 0.7500 0.7500 0.7500  4 Sr 3.21, 4 Mn 3.21

Output
- calculated total energy (eV per atom) = -4.14
- spin magnetization (μB/f.u.) = 3.54
- energy of formation (eV per atom) = 0.350

=====

Entry 3:
Sr2MnTeP: relaxed, PBE.

Unit cell a=5.7515 b=5.7515 c=5.5463 alpha=90.00 beta=90.00 gamma=90.00
Last column: nearest neighbours and their distance in Å.
Fractional coordinates of all 5 atoms:
1 Sr 0.0000 0.5000 0.0000  2 P 2.88
2 Sr 0.5000 0.0000 0.0000  2 P 2.88
3 Mn 0.0000 0.0000 0.5000  8 Sr 4.00, 4 Te 4.07
4 Te 0.5000 0.5000 0.5000  2 P 2.77
5 P 0.5000 0.5000 0.0000  2 Te 2.77, 4 Sr 2.88

Output
- energy relative to the elements, uncorrected (kcal/mol of atoms) = 0.0
- calculated total energy (eV per atom) = -4.22
- spin magnetization (μB/f.u.) = 4.81

=====

Entry 4:
SrTiMnP2: relaxed, PBE.

Unit cell a=3.9414 b=3.9414 c=12.4920 alpha=90.00 beta=90.00 gamma=90.00
Last column: nearest neighbours and their distance in Å.
Fractional coordinates of all 10 atoms:
1 Sr 0.0000 0.0000 0.0000  8 P 3.27
2 Sr 0.5000 0.5000 0.5000  8 P 3.27
3 Ti 0.0000 0.5000 0.7500  4 P 2.42
4 Ti 0.5000 0.0000 0.2500  4 P 2.42
5 Mn 0.0000 0.5000 0.2500  4 P 2.42
6 Mn 0.5000 0.0000 0.7500  4 P 2.42
7 P 0.0000 0.0000 0.3631  2 Mn 2.42, 2 Ti 2.42
8 P 0.0000 0.0000 0.6369  2 Mn 2.42, 2 Ti 2.42
9 P 0.5000 0.5000 0.1369  2 Mn 2.42, 2 Ti 2.42
10 P 0.5000 0.5000 0.8631  2 Mn 2.42, 2 Ti 2.42

Output
- calculated total energy (eV per atom) = -6.82
- spin magnetization (μB/f.u.) = 2.61
- energy of formation (eV per atom) = -0.908

=====

Entry 5:
SrMnVP2: relaxed, PBE.

Unit cell a=3.8458 b=3.8458 c=12.4637 alpha=90.00 beta=90.00 gamma=90.00
Last column: nearest neighbours and their distance in Å.
Fractional coordinates of all 10 atoms:
1 Sr 0.0000 0.0000 0.0000  8 P 3.22
2 Sr 0.5000 0.5000 0.5000  8 P 3.22
3 Mn 0.0000 0.5000 0.7500  4 P 2.37
4 Mn 0.5000 0.0000 0.2500  4 P 2.37
5 V 0.0000 0.5000 0.2500  4 P 2.37
6 V 0.5000 0.0000 0.7500  4 P 2.37
7 P 0.0000 0.0000 0.3613  2 Mn 2.37, 2 V 2.37
8 P 0.0000 0.0000 0.6387  2 Mn 2.37, 2 V 2.37
9 P 0.5000 0.5000 0.1387  2 Mn 2.37, 2 V 2.37
10 P 0.5000 0.5000 0.8613  2 Mn 2.37, 2 V 2.37

Output
- calculated total energy (eV per atom) = -6.96
- spin magnetization (μB/f.u.) = 1.62
- energy of formation (eV per atom) = -0.806

=====

Entry 6:
SrYMn2P: relaxed, PBE.

Unit cell a=5.0347 b=5.0347 c=5.4137 alpha=90.00 beta=90.00 gamma=90.00
Last column: nearest neighbours and their distance in Å.
Fractional coordinates of all 5 atoms:
1 Sr 0.0000 0.0000 0.0000  4 Mn 2.52, 2 P 2.71
2 Y 0.5000 0.5000 0.5000  4 P 3.56, 8 Mn 3.70
3 Mn 0.0000 0.5000 0.0000  2 Sr 2.52
4 Mn 0.5000 0.0000 0.0000  2 Sr 2.52
5 P 0.0000 0.0000 0.5000  2 Sr 2.71

Output
- calculated total energy (eV per atom) = -5.20
- spin magnetization (μB/f.u.) = 8.25
- energy of formation (eV per atom) = 1.180